Material: Ir5Cl4
Method: DFT, GGA-PBE
State: optimized geometry

Cell and atoms, written as extended XYZ:
```
9
Lattice="-5.218 5.218 1.390 5.218 -5.218 1.390 5.218 5.218 -1.390" Properties=species:S:1:pos:R:3 pbc="T T T"
Ir 0.000 0.000 0.000
Ir -1.743 1.743 1.390
Ir 1.743 -1.743 1.390
Ir 3.475 3.475 0.000
Ir 1.743 1.743 1.390
Cl 0.000 7.377 0.000
Cl 0.000 3.059 0.000
Cl 3.059 0.000 0.000
Cl 7.377 0.000 0.000
```

Values from the calculation:
total moment	0.00	μB/f.u.
formation energy from raw total energies	835	meV per atom
VASP energy	-44.2	eV/f.u.